Computed, not measured: a relaxed HgAuOF2 crystal at the PBE level of DFT.

Volume (A^3/atom): 16.0
Excess energy over the best structure of this formula in the dataset (meV per atom): 315
Space-group type: P4/mmm
Total magnetization (μB/cell): 0.00
Formation energy without anion corrections (kJ/mol of formula units): -178
VASP energy (eV/atom): -2.824

Lattice parameters (Å, degrees): 4.408 4.408 4.118 90.00 90.00 90.00
Element x y z (fractional)
O: 0.000 0.000 0.500
Au: 0.000 0.000 0.000
Hg: 0.500 0.500 0.500
F: 0.500 0.000 0.000
F: 0.000 0.500 0.000